A crystal of BaNi3Se relaxed with PBEsol. Source: Alexandria via LeMat-Bulk, functional SCAN.

a = 4.781 Å, b = 4.781 Å, c = 4.781 Å
α = 90.00°, β = 90.00°, γ = 90.00°
Space group Pm-3m (No. 221)
Inequivalent atoms, fractional coordinates:
1 Ba 0.000 0.000 0.000 x1
2 Ni 0.000 0.000 0.500 x3
3 Se 0.500 0.500 0.500 x1

Output
Total energy in hartree per atom: -0.7253
Uncorrected formation energy in eV per formula unit: 9.47